# 1
{
  "formula": "PuMgTa",
  "functional": "PBE",
  "state": "relaxed",
  "de_polymorph_ev_per_fu": 0.000,
  "lattice_angstrom": [[0.0000, 3.3333, 3.3333], [3.3333, 0.0000, 3.3333], [3.3333, 3.3333, 0.0000]],
  "species": ["Pu", "Mg", "Ta"],
  "frac_coords": [[0.0000, 0.0000, 0.0000], [0.2500, 0.2500, 0.2500], [0.5000, 0.5000, 0.5000]]
}


# 2
{
  "formula": "HoMgNi",
  "functional": "PBE",
  "state": "relaxed",
  "dft_energy_ev_per_atom": -3.3632,
  "lattice_angstrom": [[0.0000, 3.2959, 3.2959], [3.2959, 0.0000, 3.2959], [3.2959, 3.2959, 0.0000]],
  "species": ["Ho", "Mg", "Ni"],
  "frac_coords": [[0.0000, 0.0000, 0.0000], [0.2500, 0.2500, 0.2500], [0.7500, 0.7500, 0.7500]]
}


# 3
{
  "formula": "ZnCdSO",
  "functional": "PBE",
  "state": "relaxed",
  "de_polymorph_ev_per_fu": 0.351,
  "lattice_angstrom": [[6.7573, 0.0000, 0.0000], [0.0000, 6.9035, 0.0000], [0.0000, 0.0000, 12.4490]],
  "species": ["Zn", "Zn", "Zn", "Zn", "Zn", "Zn", "Zn", "Zn", "Cd", "Cd", "Cd", "Cd", "Cd", "Cd", "Cd", "Cd", "S", "S", "S", "S", "S", "S", "S", "S", "O", "O", "O", "O", "O", "O", "O", "O"],
  "frac_coords": [[0.0944, 0.1916, 0.0567], [0.0944, 0.3084, 0.5567], [0.4056, 0.6916, 0.0567], [0.4056, 0.8084, 0.5567], [0.5944, 0.1916, 0.4433], [0.5944, 0.3084, 0.9433], [0.9056, 0.6916, 0.4433], [0.9056, 0.8084, 0.9433], [0.1531, 0.5565, 0.7796], [0.1531, 0.9435, 0.2796], [0.3469, 0.0565, 0.7796], [0.3469, 0.4435, 0.2796], [0.6531, 0.5565, 0.7204], [0.6531, 0.9435, 0.2204], [0.8469, 0.0565, 0.7204], [0.8469, 0.4435, 0.2204], [0.2339, 0.5740, 0.4643], [0.2339, 0.9260, 0.9643], [0.2661, 0.0740, 0.4643], [0.2661, 0.4260, 0.9643], [0.7339, 0.5740, 0.0357], [0.7339, 0.9260, 0.5357], [0.7661, 0.0740, 0.0357], [0.7661, 0.4260, 0.5357], [0.1148, 0.2472, 0.2112], [0.1148, 0.2528, 0.7112], [0.3852, 0.7472, 0.2112], [0.3852, 0.7528, 0.7112], [0.6148, 0.2472, 0.2888], [0.6148, 0.2528, 0.7888], [0.8852, 0.7472, 0.2888], [0.8852, 0.7528, 0.7888]]
}


# 4
{
  "formula": "RbLuFeTe3",
  "functional": "PBE",
  "state": "relaxed",
  "de_polymorph_ev_per_fu": 0.163,
  "lattice_angstrom": [[2.1612, -8.2331, 0.0000], [2.1612, 8.2331, 0.0000], [0.0000, 0.0000, 11.3161]],
  "species": ["Rb", "Rb", "Lu", "Lu", "Fe", "Fe", "Te", "Te", "Te", "Te", "Te", "Te"],
  "frac_coords": [[0.2470, 0.7530, 0.7500], [0.7530, 0.2470, 0.2500], [0.5000, 0.5000, 0.0000], [0.5000, 0.5000, 0.5000], [0.0337, 0.9663, 0.2500], [0.9663, 0.0337, 0.7500], [0.1232, 0.8768, 0.0588], [0.1232, 0.8768, 0.4412], [0.4366, 0.5634, 0.2500], [0.5634, 0.4366, 0.7500], [0.8768, 0.1232, 0.5588], [0.8768, 0.1232, 0.9412]]
}


# 5
{
  "formula": "GaFeNiPt",
  "functional": "PBE",
  "state": "relaxed",
  "de_polymorph_ev_per_fu": 0.000,
  "lattice_angstrom": [[0.0000, 2.9943, 2.9943], [2.9943, 0.0000, 2.9943], [2.9943, 2.9943, 0.0000]],
  "species": ["Ga", "Fe", "Ni", "Pt"],
  "frac_coords": [[0.0000, 0.0000, 0.0000], [0.5000, 0.5000, 0.5000], [0.2500, 0.2500, 0.2500], [0.7500, 0.7500, 0.7500]]
}


# 6
{
  "formula": "Hg2Pd2Au",
  "functional": "PBE",
  "state": "relaxed",
  "de_polymorph_ev_per_fu": 0.000,
  "ef_ev_per_atom": 0.21,
  "lattice_angstrom": [[-2.0244, 2.0244, 6.1744], [2.0244, -2.0244, 6.1744], [2.0244, 2.0244, -6.1744]],
  "species": ["Hg", "Hg", "Pd", "Pd", "Au"],
  "frac_coords": [[0.1066, 0.1066, 0.0000], [0.8934, 0.8934, 0.0000], [0.2500, 0.7500, 0.5000], [0.7500, 0.2500, 0.5000], [0.5000, 0.5000, 0.0000]]
}


# 7
{
  "formula": "HfMgAl2Cu2Pd2",
  "functional": "PBE",
  "state": "relaxed",
  "dft_energy_ev_per_atom": -5.1265,
  "lattice_angstrom": [[4.4560, 0.0000, 0.0000], [0.0000, 4.4560, 0.0000], [0.0000, 0.0000, 6.2009]],
  "species": ["Hf", "Mg", "Al", "Al", "Cu", "Cu", "Pd", "Pd"],
  "frac_coords": [[0.0000, 0.0000, 0.0000], [0.5000, 0.5000, 0.5000], [0.0000, 0.0000, 0.5000], [0.5000, 0.5000, 0.0000], [0.0000, 0.5000, 0.7425], [0.5000, 0.0000, 0.2575], [0.0000, 0.5000, 0.2465], [0.5000, 0.0000, 0.7535]]
}


# 8
{
  "formula": "TaTlOs",
  "functional": "PBE",
  "state": "relaxed",
  "de_polymorph_ev_per_fu": 0.000,
  "lattice_angstrom": [[0.0000, 3.1720, 3.1720], [3.1720, 0.0000, 3.1720], [3.1720, 3.1720, 0.0000]],
  "species": ["Ta", "Tl", "Os"],
  "frac_coords": [[0.0000, 0.0000, 0.0000], [0.2500, 0.2500, 0.2500], [0.7500, 0.7500, 0.7500]]
}


# 9
{
  "formula": "NaLuSn",
  "functional": "PBE",
  "state": "relaxed",
  "dft_energy_ev_per_atom": -3.2297,
  "lattice_angstrom": [[0.0000, 3.5811, 3.5811], [3.5811, 0.0000, 3.5811], [3.5811, 3.5811, 0.0000]],
  "species": ["Na", "Lu", "Sn"],
  "frac_coords": [[0.0000, 0.0000, 0.0000], [0.2500, 0.2500, 0.2500], [0.5000, 0.5000, 0.5000]]
}


# 10
{
  "formula": "YLuTe3",
  "functional": "PBE",
  "state": "relaxed",
  "dft_energy_ev_per_atom": -5.4730,
  "lattice_angstrom": [[3.7309, -6.4839, 0.0000], [3.7309, 6.4839, 0.0000], [-2.4906, 0.0000, 7.1234]],
  "species": ["Y", "Y", "Lu", "Lu", "Te", "Te", "Te", "Te", "Te", "Te"],
  "frac_coords": [[0.0000, 0.0000, 0.0000], [0.8367, 0.1633, 0.5000], [0.1665, 0.8335, 0.5000], [0.5021, 0.4979, 0.5000], [0.0927, 0.4209, 0.2533], [0.2568, 0.2473, 0.7510], [0.4158, 0.0826, 0.2541], [0.5791, 0.9073, 0.7467], [0.7527, 0.7432, 0.2490], [0.9174, 0.5842, 0.7459]]
}


# 11
{
  "formula": "KNb2AgS4",
  "functional": "PBE",
  "state": "relaxed",
  "dft_energy_ev_per_atom": -5.9225,
  "lattice_angstrom": [[3.4207, 0.0000, 0.0000], [-1.7103, 2.9624, 0.0000], [0.0000, 0.0000, 16.8155]],
  "species": ["K", "Nb", "Nb", "Ag", "S", "S", "S", "S"],
  "frac_coords": [[0.0000, 0.0000, 0.0000], [0.3333, 0.6667, 0.2660], [0.6667, 0.3333, 0.7340], [0.0000, 0.0000, 0.5000], [0.0000, 0.0000, 0.1740], [0.0000, 0.0000, 0.3566], [0.0000, 0.0000, 0.6434], [0.0000, 0.0000, 0.8260]]
}


# 12
{
  "formula": "TlPd2",
  "functional": "PBE",
  "state": "relaxed",
  "dft_energy_ev_per_atom": -4.3114,
  "lattice_angstrom": [[0.0000, 3.8364, 3.8364], [3.8364, 0.0000, 3.8364], [3.8364, 3.8364, 0.0000]],
  "species": ["Tl", "Tl", "Pd", "Pd", "Pd", "Pd"],
  "frac_coords": [[0.1250, 0.1250, 0.1250], [0.8750, 0.8750, 0.8750], [0.0000, 0.5000, 0.5000], [0.5000, 0.0000, 0.5000], [0.5000, 0.5000, 0.0000], [0.5000, 0.5000, 0.5000]]
}


# 13
{
  "formula": "Tb2GdNi9",
  "functional": "PBE",
  "state": "relaxed",
  "ef_ev_per_atom": -0.40,
  "lattice_angstrom": [[2.4774, 1.4303, 8.1241], [-2.4774, 1.4303, 8.1241], [0.0000, -2.8607, 8.1241]],
  "species": ["Tb", "Tb", "Gd", "Ni", "Ni", "Ni", "Ni", "Ni", "Ni", "Ni", "Ni", "Ni"],
  "frac_coords": [[0.1391, 0.1391, 0.1391], [0.8609, 0.8609, 0.8609], [0.0000, 0.0000, 0.0000], [0.0813, 0.5824, 0.5824], [0.3330, 0.3330, 0.3330], [0.4176, 0.4176, 0.9187], [0.4176, 0.9187, 0.4176], [0.5000, 0.5000, 0.5000], [0.5824, 0.0813, 0.5824], [0.5824, 0.5824, 0.0813], [0.6670, 0.6670, 0.6670], [0.9187, 0.4176, 0.4176]]
}


# 14
{
  "formula": "Nd2Sc2CBr3Cl2",
  "functional": "PBE",
  "state": "relaxed",
  "de_polymorph_ev_per_fu": 0.446,
  "lattice_angstrom": [[8.6406, -1.8636, 0.0000], [8.6406, 1.8636, 0.0000], [-2.0164, 0.0000, 7.6146]],
  "species": ["Nd", "Nd", "Sc", "Sc", "C", "Br", "Br", "Br", "Cl", "Cl"],
  "frac_coords": [[0.1480, 0.1480, 0.0828], [0.8520, 0.8520, 0.9172], [0.4992, 0.4992, 0.1920], [0.5008, 0.5008, 0.8080], [0.0000, 0.0000, 0.0000], [0.0000, 0.0000, 0.5000], [0.3406, 0.3406, 0.6288], [0.6594, 0.6594, 0.3712], [0.3396, 0.3396, 0.1800], [0.6604, 0.6604, 0.8200]]
}


# 15
{
  "formula": "LuI2",
  "functional": "PBE",
  "state": "relaxed",
  "dft_energy_ev_per_atom": -3.1212,
  "lattice_angstrom": [[0.0000, 6.6729, 6.6729], [6.6729, 0.0000, 6.6729], [6.6729, 6.6729, 0.0000]],
  "species": ["Lu", "Lu", "I", "I", "I", "I"],
  "frac_coords": [[0.1250, 0.1250, 0.1250], [0.8750, 0.8750, 0.8750], [0.0000, 0.0000, 0.0000], [0.0000, 0.0000, 0.5000], [0.0000, 0.5000, 0.0000], [0.5000, 0.0000, 0.0000]]
}


# 16
{
  "formula": "Al5W7",
  "functional": "PBE",
  "state": "relaxed",
  "de_polymorph_ev_per_fu": 0.883,
  "lattice_angstrom": [[5.2477, 0.0000, 0.0000], [-2.6238, 4.5446, 0.0000], [0.0000, 0.0000, 16.5629]],
  "species": ["Al", "Al", "Al", "Al", "Al", "Al", "Al", "Al", "Al", "Al", "W", "W", "W", "W", "W", "W", "W", "W", "W", "W", "W", "W", "W", "W"],
  "frac_coords": [[0.1586, 0.3173, 0.2500], [0.1586, 0.8414, 0.2500], [0.3173, 0.1586, 0.7500], [0.3333, 0.6667, 0.6476], [0.3333, 0.6667, 0.8524], [0.6667, 0.3333, 0.1476], [0.6667, 0.3333, 0.3524], [0.6827, 0.8414, 0.2500], [0.8414, 0.1586, 0.7500], [0.8414, 0.6827, 0.7500], [0.0000, 0.0000, 0.0975], [0.0000, 0.0000, 0.4025], [0.0000, 0.0000, 0.5975], [0.0000, 0.0000, 0.9025], [0.0000, 0.5000, 0.0000], [0.0000, 0.5000, 0.5000], [0.3333, 0.6667, 0.1298], [0.3333, 0.6667, 0.3702], [0.5000, 0.0000, 0.0000], [0.5000, 0.0000, 0.5000], [0.5000, 0.5000, 0.0000], [0.5000, 0.5000, 0.5000], [0.6667, 0.3333, 0.6298], [0.6667, 0.3333, 0.8702]]
}


# 17
{
  "formula": "Ba2Zn3Hg",
  "functional": "PBE",
  "state": "relaxed",
  "dft_energy_ev_per_atom": -1.5924,
  "lattice_angstrom": [[5.8267, -2.4887, 0.0000], [5.8267, 2.4887, 0.0000], [-5.7050, 0.0000, 5.8410]],
  "species": ["Ba", "Ba", "Zn", "Zn", "Zn", "Hg"],
  "frac_coords": [[0.0000, 0.0000, 0.0000], [0.0921, 0.0921, 0.5974], [0.3812, 0.3812, 0.1923], [0.7009, 0.7009, 0.3869], [0.7258, 0.7258, 0.0536], [0.3815, 0.3815, 0.5782]]
}


# 18
{
  "formula": "CoNiHgAs",
  "functional": "PBE",
  "state": "relaxed",
  "de_polymorph_ev_per_fu": 0.814,
  "lattice_angstrom": [[0.0000, 3.1233, 3.1233], [3.1233, 0.0000, 3.1233], [3.1233, 3.1233, 0.0000]],
  "species": ["Co", "Ni", "Hg", "As"],
  "frac_coords": [[0.0000, 0.0000, 0.0000], [0.2500, 0.2500, 0.2500], [0.5000, 0.5000, 0.5000], [0.7500, 0.7500, 0.7500]]
}


# 19
{
  "formula": "NdAsN2O",
  "functional": "PBE",
  "state": "relaxed",
  "dft_energy_ev_per_atom": -6.9629,
  "lattice_angstrom": [[3.7914, -3.7906, 0.0000], [3.7914, 3.7906, 0.0000], [-3.6997, 0.0000, 4.0155]],
  "species": ["Nd", "Nd", "As", "As", "N", "N", "N", "N", "O", "O"],
  "frac_coords": [[0.2452, 0.2452, 0.4931], [0.7548, 0.7548, 0.5069], [0.0000, 0.5000, 0.0000], [0.5000, 0.0000, 0.0000], [0.2017, 0.7983, 0.0000], [0.3209, 0.3209, 0.0536], [0.6791, 0.6791, 0.9464], [0.7983, 0.2017, 0.0000], [0.2180, 0.7820, 0.5000], [0.7820, 0.2180, 0.5000]]
}


# 20
{
  "formula": "KAgTe2MoSe",
  "functional": "PBE",
  "state": "relaxed",
  "dft_energy_ev_per_atom": -4.3426,
  "lattice_angstrom": [[2.0491, -7.8447, 0.0000], [2.0491, 7.8447, 0.0000], [0.0000, 0.0000, 10.4966]],
  "species": ["K", "K", "Ag", "Ag", "Te", "Te", "Te", "Te", "Mo", "Mo", "Se", "Se"],
  "frac_coords": [[0.2457, 0.7543, 0.7500], [0.7543, 0.2457, 0.2500], [0.4591, 0.5409, 0.2500], [0.5409, 0.4591, 0.7500], [0.3762, 0.6238, 0.0242], [0.3762, 0.6238, 0.4758], [0.6238, 0.3762, 0.5242], [0.6238, 0.3762, 0.9758], [0.0000, 0.0000, 0.0000], [0.0000, 0.0000, 0.5000], [0.0647, 0.9353, 0.2500], [0.9353, 0.0647, 0.7500]]
}